{"formula": "CsHf2TcPt", "functional": "GGA-PBE", "state": "relaxed", "cell": [[4.9610, 0.0000, 0.0000], [0.0000, 4.9610, 0.0000], [0.0000, 0.0000, 5.6048]], "species": ["Cs", "Hf", "Hf", "Tc", "Pt"], "frac_coords": [[0.0000, 0.0000, 0.0000], [0.0000, 0.5000, 0.5000], [0.5000, 0.0000, 0.5000], [0.0000, 0.0000, 0.5000], [0.5000, 0.5000, 0.0000]], "dos_at_fermi_per_ev_cell": 4.72, "e_form_ev_per_atom": 1.109, "sg": "P4/mmm", "magnetic_moment_mub_per_atom": 0.00, "density_g_cm3": 9.4, "final_energy_ev_per_atom": -6.3248}


{"formula": "Cs3Pu3HfSe8", "functional": "GGA-PBE", "state": "relaxed", "cell": [[4.2024, 2.4263, 8.5161], [-4.2024, 2.4263, 8.5161], [0.0000, -4.8525, 8.5161]], "species": ["Cs", "Cs", "Cs", "Pu", "Pu", "Pu", "Hf", "Se", "Se", "Se", "Se", "Se", "Se", "Se", "Se"], "frac_coords": [[0.0000, 0.5000, 0.5000], [0.5000, 0.0000, 0.5000], [0.5000, 0.5000, 0.0000], [0.0000, 0.0000, 0.5000], [0.0000, 0.5000, 0.0000], [0.5000, 0.0000, 0.0000], [0.5000, 0.5000, 0.5000], [0.2282, 0.2282, 0.2282], [0.2465, 0.7154, 0.7154], [0.2846, 0.2846, 0.7535], [0.2846, 0.7535, 0.2846], [0.7154, 0.2465, 0.7154], [0.7154, 0.7154, 0.2465], [0.7535, 0.2846, 0.2846], [0.7718, 0.7718, 0.7718]], "dos_at_fermi_per_ev_cell": 31.55, "sg": "R-3m", "formation_energy_uncorrected_ev_per_atom": -1.43, "magnetic_moment_mub_per_atom": 1.00, "density_g_cm3": 6.2, "final_energy_ev_per_atom": -6.9918}


{"formula": "Cs3Pu2HfTe6", "functional": "GGA-PBE", "state": "relaxed", "cell": [[3.9230, -6.7922, 0.0000], [3.9230, 6.7922, 0.0000], [-2.6186, 0.0000, 8.8914]], "species": ["Cs", "Cs", "Cs", "Pu", "Pu", "Hf", "Te", "Te", "Te", "Te", "Te", "Te"], "frac_coords": [[0.0000, 0.0000, 0.0000], [0.3275, 0.6725, 0.0000], [0.6725, 0.3275, 0.0000], [0.1660, 0.8340, 0.5000], [0.8340, 0.1660, 0.5000], [0.5000, 0.5000, 0.5000], [0.1259, 0.4379, 0.3134], [0.2519, 0.2519, 0.6891], [0.4379, 0.1259, 0.3134], [0.5621, 0.8741, 0.6866], [0.7481, 0.7481, 0.3109], [0.8741, 0.5621, 0.6866]], "dos_at_fermi_per_ev_cell": 29.83, "sg": "C2/m", "formation_energy_uncorrected_ev_per_atom": -1.04, "magnetic_moment_mub_per_atom": 0.92, "density_g_cm3": 6.4, "final_energy_ev_per_atom": -6.0457}